1.
Mg9InPb2: relaxed, PBE.

```
Mg9InPb2
1.0
4.5569 0.0000 0.0000
0.0000 4.5569 0.0000
0.0000 0.0000 13.6137
Mg In Pb
9 1 2
Cartesian
0.0000 0.0000 0.0000
0.0000 0.0000 4.5104
0.0000 0.0000 9.1033
0.0000 2.2784 2.2064
0.0000 2.2784 6.8069
0.0000 2.2784 11.4073
2.2784 0.0000 2.2064
2.2784 0.0000 6.8069
2.2784 0.0000 11.4073
2.2784 2.2784 0.0000
2.2784 2.2784 4.5191
2.2784 2.2784 9.0947
```

Properties
As for the energy of formation: -59 meV per atom. As for the crystal system: tetragonal. For the density of states at the Fermi level, the calculation gives 0.4315 states/eV/atom. The calculation puts the calculated volume at 283 Å³ per cell.

2.
MgIn3Pb12: relaxed, PBE.

```
MgIn3Pb12
1.0
4.8433 0.0000 0.0000
0.0000 4.8433 0.0000
0.0000 0.0000 20.6247
Mg In Pb
1 3 12
Cartesian
0.0000 0.0000 0.0000
0.0000 0.0000 5.1121
0.0000 0.0000 10.3123
0.0000 0.0000 15.5126
0.0000 2.4217 2.4955
0.0000 2.4217 7.7021
0.0000 2.4217 12.9226
0.0000 2.4217 18.1292
2.4217 0.0000 2.4955
2.4217 0.0000 7.7021
2.4217 0.0000 12.9226
2.4217 0.0000 18.1292
2.4217 2.4217 0.0000
2.4217 2.4217 5.1116
2.4217 2.4217 10.3123
2.4217 2.4217 15.5130
```

Properties
As for the energy of formation: 7 meV per atom. As for the crystal system: tetragonal. For the density of states at the Fermi level, the calculation gives 0.3816 states/eV/atom. The calculation puts the calculated volume at 484 Å³ per cell.

3.
Mg5In5Pb2: relaxed, PBE.

```
Mg5In5Pb2
1.0
7.0447 -2.3113 0.0000
7.0447 2.3113 0.0000
-5.0652 0.0000 9.2921
Mg In Pb
5 5 2
Cartesian
0.0000 0.0000 0.0000
-2.6747 0.0000 7.0378
2.2878 0.0000 2.2362
6.7364 0.0000 7.0559
11.6989 0.0000 2.2543
-0.4153 0.0000 9.2490
2.0856 0.0000 7.1248
4.5121 0.0000 4.6460
6.9386 0.0000 2.1673
9.4395 0.0000 0.0431
-0.2644 0.0000 4.7267
9.2886 0.0000 4.5654
```

Properties
As for the energy of formation: -43 meV per atom. As for the crystal system: monoclinic. For the density of states at the Fermi level, the calculation gives 0.3553 states/eV/atom. The calculation puts the calculated volume at 303 Å³ per cell.

4.
Mg8In4Pb3: relaxed, PBE.

```
Mg8In4Pb3
1.0
6.0197 -6.1322 0.0000
6.0197 6.1322 0.0000
-3.3570 0.0000 5.4448
Mg In Pb
8 4 3
Cartesian
6.0197 4.4899 0.0000
1.2754 0.0000 2.6546
-0.4191 0.0000 5.4121
4.3413 3.0913 2.7224
4.3413 -3.0913 2.7224
9.1016 0.0000 0.0327
7.4071 0.0000 2.7902
6.0197 -4.4899 0.0000
-1.6785 0.0000 2.7224
1.3314 3.0661 2.7224
1.3314 -3.0661 2.7224
6.0197 0.0000 0.0000
3.0099 3.0661 0.0000
3.0099 -3.0661 0.0000
4.3413 0.0000 2.7224
```

Properties
As for the energy of formation: 67 meV per atom. As for the crystal system: monoclinic. For the density of states at the Fermi level, the calculation gives 0.5302 states/eV/atom. The calculation puts the calculated volume at 402 Å³ per cell.

5.
MgIn2Pb: relaxed, PBE.

```
MgIn2Pb
1.0
3.4746 0.0000 0.0000
0.0000 4.4660 0.0000
-0.2895 0.0000 6.9004
Mg In Pb
1 2 1
Cartesian
0.0000 0.0000 0.0000
1.6626 2.2330 1.5959
1.5225 2.2330 5.3045
-0.1447 0.0000 3.4502
```

Properties
As for the energy of formation: -20 meV per atom. As for the crystal system: monoclinic. For the density of states at the Fermi level, the calculation gives 0.3800 states/eV/atom. The calculation puts the calculated volume at 107 Å³ per cell.

6.
Mg3In4Pb4: relaxed, PBE.

```
Mg3In4Pb4
1.0
3.5276 0.0000 0.0000
0.0167 4.4780 0.0000
1.7589 2.1350 18.9905
Mg In Pb
3 4 4
Cartesian
0.0000 0.0000 0.0000
1.7819 2.1919 5.1060
3.5213 4.4211 13.8846
1.7594 2.1652 15.5130
1.7703 2.1840 8.6554
3.5329 4.4290 10.3351
3.5438 4.4478 3.4775
1.7508 2.1957 12.2439
1.7746 2.2133 1.7225
3.5286 4.3997 17.2681
3.5524 4.4173 6.7466
```

Properties
As for the energy of formation: -5 meV per atom. As for the crystal system: triclinic. For the density of states at the Fermi level, the calculation gives 0.5415 states/eV/atom. The calculation puts the calculated volume at 300 Å³ per cell.

7.
Mg12In3Pb: relaxed, PBE.

```
Mg12In3Pb
1.0
4.4791 0.0000 0.0000
0.0000 4.4791 0.0000
0.0000 0.0000 18.3485
Mg In Pb
12 3 1
Cartesian
0.0000 0.0000 0.0000
0.0000 0.0000 4.5513
0.0000 0.0000 9.1743
0.0000 0.0000 13.7973
0.0000 2.2396 2.2715
0.0000 2.2396 6.8148
0.0000 2.2396 11.5337
0.0000 2.2396 16.0771
2.2396 0.0000 2.2715
2.2396 0.0000 6.8148
2.2396 0.0000 11.5337
2.2396 0.0000 16.0771
2.2396 2.2396 0.0000
2.2396 2.2396 4.5572
2.2396 2.2396 13.7914
2.2396 2.2396 9.1743
```

Properties
As for the energy of formation: -77 meV per atom. As for the crystal system: tetragonal. For the density of states at the Fermi level, the calculation gives 0.2913 states/eV/atom. The calculation puts the calculated volume at 368 Å³ per cell.

8.
Mg3In3Pb2: relaxed, PBE.

```
Mg3In3Pb2
1.0
-2.2483 2.4133 9.5369
2.2483 -2.4133 9.5369
2.2483 2.4133 -9.5369
Mg In Pb
3 3 2
Cartesian
0.0000 0.0000 0.0000
2.2483 0.0000 7.2686
0.0000 2.4133 2.2683
2.2483 0.0000 2.1841
0.0000 0.0000 9.5369
0.0000 2.4133 7.3529
0.0000 0.0000 4.7370
0.0000 0.0000 14.3368
```

Properties
As for the energy of formation: -26 meV per atom. As for the energy above the most stable polymorph in this dataset: 0.3 kJ/mol of atoms. As for the crystal system: orthorhombic. For the density of states at the Fermi level, the calculation gives 0.4673 states/eV/atom. The calculation puts the calculated volume at 207 Å³ per cell.

9.
MgIn2Pb: relaxed, PBE.

```
MgIn2Pb
1.0
1.7975 -2.7840 0.0000
1.7975 2.7840 0.0000
0.0000 0.0000 10.8714
Mg In Pb
1 2 1
Cartesian
0.0000 0.0000 0.0000
0.0000 0.0000 5.2351
1.7975 0.0000 2.4844
1.7975 0.0000 8.2112
```

Properties
As for the energy of formation: 13 meV per atom. As for the crystal system: orthorhombic. For the density of states at the Fermi level, the calculation gives 0.2629 states/eV/atom. The calculation puts the calculated volume at 109 Å³ per cell.

10.
Mg7In12Pb: relaxed, PBE.

```
Mg7In12Pb
1.0
6.8028 3.9276 3.1661
-6.8028 3.9276 3.1661
0.0000 -7.8552 3.1661
Mg In Pb
7 12 1
Cartesian
0.0000 0.0000 0.0000
-2.0955 -2.2040 3.9955
-2.9565 0.7127 5.5027
-0.8610 2.9167 3.9955
0.8610 -2.9167 5.5027
2.9565 -0.7127 3.9955
2.0955 2.2040 5.5027
-2.4954 0.5459 2.3769
-1.0114 -4.9904 3.9613
-4.8276 -1.6193 5.5369
0.7750 -2.4340 2.3769
-3.8161 3.3711 3.9613
1.7205 1.8881 2.3769
-1.7205 -1.8882 7.1213
3.8161 -3.3711 5.5370
-0.7750 2.4340 7.1213
4.8276 1.6193 3.9613
1.0114 4.9904 5.5370
2.4954 -0.5459 7.1213
0.0000 0.0000 4.7491
```

Properties
As for the energy of formation: -22 meV per atom. As for the energy above the most stable polymorph in this dataset: 2.0 kJ/mol of atoms. As for the crystal system: trigonal. For the density of states at the Fermi level, the calculation gives 0.4238 states/eV/atom. The calculation puts the calculated volume at 508 Å³ per cell.

11.
Mg12In2Pb7: relaxed, PBE.

```
Mg12In2Pb7
1.0
12.1797 0.0000 0.0000
-6.0899 10.5479 0.0000
0.0000 0.0000 4.3617
Mg In Pb
12 2 7
Cartesian
-1.1493 2.9179 0.0000
-3.0394 7.5176 2.1809
-2.9883 10.0843 0.0000
1.0991 4.1570 2.1809
3.6959 1.8685 2.1809
3.9051 4.4930 0.0000
6.3361 1.1354 0.0000
1.9402 9.4213 2.1809
4.1375 8.0937 0.0000
5.8601 6.4130 2.1809
8.7136 2.2664 2.1809
8.0284 4.9196 0.0000
0.0000 0.0000 2.1809
0.0000 7.0320 0.0000
-1.8066 4.8783 2.1809
1.6958 2.1766 0.0000
-0.9618 9.6734 2.1809
2.7684 6.5442 2.1809
6.0899 3.5160 2.1809
9.4468 0.3803 0.0000
7.1270 7.9910 0.0000
```

Properties
As for the energy of formation: -20 meV per atom. As for the crystal system: hexagonal. For the density of states at the Fermi level, the calculation gives 0.2435 states/eV/atom. The calculation puts the calculated volume at 560 Å³ per cell.

12.
Mg4In5Pb2: relaxed, PBE.

```
Mg4In5Pb2
1.0
8.3805 0.0000 0.0000
0.0000 3.2574 0.0000
-0.4485 0.0000 10.5152
Mg In Pb
4 5 2
Cartesian
-0.0019 0.0000 1.5227
3.5118 0.0000 2.5268
4.4202 0.0000 7.9884
7.9338 0.0000 8.9925
1.7507 1.6287 7.4510
2.4418 1.6287 0.0762
3.9660 1.6287 5.2576
5.4901 1.6287 10.4390
6.1813 1.6287 3.0642
0.9721 1.6287 4.1041
6.9598 1.6287 6.4111
```

Properties
As for the energy of formation: -10 meV per atom. As for the crystal system: monoclinic. For the density of states at the Fermi level, the calculation gives 0.4392 states/eV/atom. The calculation puts the calculated volume at 287 Å³ per cell.

13.
Mg2InPb: relaxed, PBE.

```
Mg2InPb
1.0
5.6012 -1.7430 0.0000
5.6012 1.7430 0.0000
-0.8552 0.0000 5.1780
Mg In Pb
2 1 1
Cartesian
0.0000 0.0000 0.0000
8.1365 0.0000 1.5023
5.1520 0.0000 2.5300
2.1456 0.0000 4.1170
```

Properties
As for the energy of formation: -46 meV per atom. As for the crystal system: monoclinic. For the density of states at the Fermi level, the calculation gives 0.4510 states/eV/atom. The calculation puts the calculated volume at 101 Å³ per cell.

14.
MgIn2Pb: relaxed, PBE.

```
MgIn2Pb
1.0
3.2280 0.0000 0.0000
0.0000 3.4691 0.0000
-0.0246 0.0000 9.6161
Mg In Pb
1 2 1
Cartesian
0.0000 0.0000 0.0000
1.5813 1.7346 7.5501
1.6220 1.7346 2.0660
1.6017 0.0000 4.8080
```

Properties
As for the energy of formation: -9 meV per atom. As for the crystal system: monoclinic. For the density of states at the Fermi level, the calculation gives 0.3531 states/eV/atom. The calculation puts the calculated volume at 108 Å³ per cell.

15.
Mg4In6Pb: relaxed, PBE.

```
Mg4In6Pb
1.0
-3.1933 3.1933 7.3050
3.1933 -3.1933 7.3050
3.1933 3.1933 -7.3050
Mg In Pb
4 6 1
Cartesian
1.8562 1.8562 -2.4643
1.3371 -1.3371 9.7694
1.3371 1.3371 4.8407
-1.3371 1.3371 9.7694
3.1933 0.0000 0.0000
2.0317 -2.0317 5.3686
1.1615 1.1615 1.9364
0.0000 3.1933 0.0000
-2.0317 2.0317 5.3686
2.0317 2.0317 9.2414
0.0000 0.0000 7.3050
```

Properties
As for the energy of formation: 54 meV per atom. As for the crystal system: tetragonal. For the density of states at the Fermi level, the calculation gives 0.3931 states/eV/atom. The calculation puts the calculated volume at 298 Å³ per cell.

16.
Mg8In2Pb: relaxed, PBE.

```
Mg8In2Pb
1.0
8.2058 -2.2565 0.0000
8.2058 2.2565 0.0000
-2.0275 0.0000 6.9864
Mg In Pb
8 2 1
Cartesian
0.2796 0.0000 1.5713
0.9252 0.0000 4.8528
4.0318 0.0000 4.0968
6.6004 0.0000 0.2726
7.7837 0.0000 6.7137
10.3523 0.0000 2.8896
13.4589 0.0000 2.1336
14.1045 0.0000 5.4151
3.3513 0.0000 1.0342
11.0328 0.0000 5.9521
7.1920 0.0000 3.4932
```

Properties
As for the energy of formation: -58 meV per atom. As for the energy above the most stable polymorph in this dataset: 0.0 kJ/mol of atoms. As for the crystal system: monoclinic. For the density of states at the Fermi level, the calculation gives 0.4313 states/eV/atom. The calculation puts the calculated volume at 259 Å³ per cell.

17.
Mg3In5Pb3: relaxed, PBE.

```
Mg3In5Pb3
1.0
6.2729 0.0000 0.0000
-0.3610 6.7230 0.0000
-0.5713 -1.4079 7.2368
Mg In Pb
3 5 3
Cartesian
0.0000 0.0000 0.0000
1.3849 2.1140 2.2353
3.3601 3.7122 4.7304
0.4131 0.3535 4.7333
1.6454 5.6182 2.3504
2.0260 2.3146 7.1831
4.7066 5.1066 2.2843
5.0852 1.8032 7.1153
0.2242 3.7148 4.7374
2.5967 -0.9112 6.8558
4.4910 1.6104 2.6143
```

Properties
As for the energy of formation: 20 meV per atom. As for the crystal system: triclinic. For the density of states at the Fermi level, the calculation gives 0.4477 states/eV/atom. The calculation puts the calculated volume at 305 Å³ per cell.

18.
Mg2InPb: relaxed, PBE.

```
Mg2InPb
1.0
4.3483 0.0000 0.0000
0.0648 4.7348 0.0000
2.1381 2.1346 9.7497
Mg In Pb
4 2 2
Cartesian
1.0896 2.2564 3.5822
1.1430 4.6771 1.1808
5.4082 2.1923 8.5689
5.4616 4.6130 6.1675
3.2608 4.5761 8.5957
3.2904 2.2933 1.1540
3.2487 2.2485 6.1368
3.3025 4.6209 3.6129
```

Properties
As for the energy of formation: -55 meV per atom. As for the crystal system: triclinic. For the density of states at the Fermi level, the calculation gives 0.4011 states/eV/atom. The calculation puts the calculated volume at 201 Å³ per cell.

19.
Mg2In9Pb: relaxed, PBE.

```
Mg2In9Pb
1.0
10.6877 0.0000 0.0000
-5.3438 9.2558 0.0000
0.0000 0.0000 3.2340
Mg In Pb
2 9 1
Cartesian
0.0000 6.1705 0.0000
5.3439 3.0853 0.0000
-2.6719 4.6279 0.0000
0.0000 3.2656 1.6170
-2.5157 7.6230 1.6170
2.8281 1.6328 1.6170
5.3438 0.0000 0.0000
2.6719 4.6279 0.0000
2.5157 7.6230 1.6170
7.8596 1.6328 1.6170
5.3438 5.9902 1.6170
0.0000 0.0000 0.0000
```

Properties
As for the energy of formation: 3 meV per atom. As for the energy above the most stable polymorph in this dataset: 0.7 kJ/mol of atoms. As for the crystal system: hexagonal. For the density of states at the Fermi level, the calculation gives 0.3688 states/eV/atom. The calculation puts the calculated volume at 320 Å³ per cell.

20.
MgIn2Pb5: relaxed, PBE.

```
MgIn2Pb5
1.0
6.9386 0.0000 0.0000
0.0000 14.0097 0.0000
0.0000 0.0000 4.8307
Mg In Pb
2 4 10
Cartesian
0.0000 0.0000 0.0000
3.4693 7.0048 0.0000
1.6185 5.2275 2.4153
1.8508 12.2323 2.4153
5.0879 1.7774 2.4153
5.3201 8.7822 2.4153
0.0000 7.0048 0.0000
0.1720 10.5079 0.0000
1.5138 1.6109 2.4153
1.9555 8.6158 2.4153
3.2973 3.5031 0.0000
3.4693 0.0000 0.0000
3.6413 10.5066 0.0000
4.9831 5.3939 2.4153
5.4248 12.3987 2.4153
6.7666 3.5017 0.0000
```

Properties
As for the energy of formation: 6 meV per atom. As for the energy above the most stable polymorph in this dataset: 0.0 kJ/mol of atoms. As for the crystal system: orthorhombic. For the density of states at the Fermi level, the calculation gives 0.6180 states/eV/atom. The calculation puts the calculated volume at 470 Å³ per cell.

21.
Mg4InPb3: relaxed, PBE.

```
Mg4InPb3
1.0
5.2208 -6.1679 0.0000
5.2208 6.1679 0.0000
0.0000 0.0000 3.4043
Mg In Pb
4 1 3
Cartesian
5.2208 3.1149 0.0000
2.6172 0.0000 1.7022
7.8243 0.0000 1.7022
5.2208 -3.1149 0.0000
5.2208 0.0000 0.0000
0.0000 0.0000 0.0000
2.6104 3.0839 1.7022
2.6104 -3.0839 1.7022
```

Properties
As for the energy of formation: 81 meV per atom. As for the energy above the most stable polymorph in this dataset: 13.1 kJ/mol of atoms. As for the crystal system: orthorhombic. For the density of states at the Fermi level, the calculation gives 0.6424 states/eV/atom. The calculation puts the calculated volume at 219 Å³ per cell.